# 1
! TcSb2Mo | Alexandria via LeMat-Bulk | PBE-GGA | optimized geometry; values from VASP
&SYSTEM
  ibrav = 0, nat = 4, ntyp = 3
/
ATOMIC_SPECIES
Tc 98.00 Tc.upf
Sb 121.76 Sb.upf
Mo 95.94 Mo.upf
ATOMIC_POSITIONS crystal
Tc 0.0000 0.0000 0.0000
Sb 0.5659 0.5659 0.0000
Sb 0.8150 0.3150 0.5000
Mo 0.2244 0.7244 0.5000
CELL_PARAMETERS angstrom
-1.6326 2.0135 5.9321
1.6326 -2.0135 5.9321
1.6326 2.0135 -5.9321
! - Theoretical density: 9.31 g cm⁻³
! - Uncorrected energy: -28.39 eV/cell

---

# 2
! TcSb2Mo | Alexandria via LeMat-Bulk | PBE-GGA | optimized geometry; values from VASP
&SYSTEM
  ibrav = 0, nat = 4, ntyp = 3
/
ATOMIC_SPECIES
Tc 98.00 Tc.upf
Sb 121.76 Sb.upf
Mo 95.94 Mo.upf
ATOMIC_POSITIONS crystal
Tc 0.0000 0.0000 0.0000
Sb 0.2500 0.2500 0.2500
Sb 0.5000 0.5000 0.5000
Mo 0.7500 0.7500 0.7500
CELL_PARAMETERS angstrom
0.0000 3.3609 3.3609
3.3609 0.0000 3.3609
3.3609 3.3609 0.0000
! - Theoretical density: 9.57 g cm⁻³
! - Uncorrected energy: -26.84 eV/cell

---

# 3
! TcSbMo2 | Alexandria via LeMat-Bulk | PBE-GGA | optimized geometry; values from VASP
&SYSTEM
  ibrav = 0, nat = 4, ntyp = 3
/
ATOMIC_SPECIES
Tc 98.00 Tc.upf
Sb 121.76 Sb.upf
Mo 95.94 Mo.upf
ATOMIC_POSITIONS crystal
Tc 0.0000 0.0000 0.0000
Sb 0.5000 0.5000 0.0000
Mo 0.2503 0.7503 0.5000
Mo 0.7497 0.2497 0.5000
CELL_PARAMETERS angstrom
-1.6465 2.1796 4.5684
1.6465 -2.1796 4.5684
1.6465 2.1796 -4.5684
! - Theoretical density: 10.42 g cm⁻³
! - Uncorrected energy: -35.65 eV/cell

---

# 4
! Tc2SbMo | Alexandria via LeMat-Bulk | PBE-GGA | optimized geometry; values from VASP
&SYSTEM
  ibrav = 0, nat = 4, ntyp = 3
/
ATOMIC_SPECIES
Tc 98.00 Tc.upf
Sb 121.76 Sb.upf
Mo 95.94 Mo.upf
ATOMIC_POSITIONS crystal
Tc 0.0000 0.0000 0.2402
Tc 0.0000 0.0000 0.7598
Sb 0.5000 0.5000 0.5000
Mo 0.5000 0.5000 0.0000
CELL_PARAMETERS angstrom
3.0175 0.0000 0.0000
0.0000 4.0901 0.0000
0.0000 0.0000 5.3469
! - Theoretical density: 10.41 g cm⁻³
! - Uncorrected energy: -34.63 eV/cell